[1]
VASP calculation (PBE) on a geometry-optimized Np3NiS6 structure.

Output
- ρ: 7.5 g/cm³
- Space group: Cmc2_1 (36)
- V: 21.217 Å³/atom
- Calculated total energy: -162.8 eV for the cell shown
- Formation energy from raw total energies: -1.20 eV per atom

Lattice parameters (Å, degrees): 6.2363 8.3337 8.3337 101.56 90.00 90.00
Closest atoms and distances in Å follow each position.
Fractional positions:
1 Np 0.4742 0.9284 0.7220  7 S 2.69-2.83
2 Np 0.9742 0.7220 0.9284  7 S 2.69-2.83
3 Np 0.3854 0.3902 0.6098  7 S 2.68-2.83
4 Np 0.8854 0.6098 0.3902  7 S 2.68-2.83
5 Np 0.9742 0.0716 0.2780  7 S 2.69-2.83
6 Np 0.4742 0.2780 0.0716  7 S 2.69-2.83
7 Ni 0.0467 0.1940 0.8060  4 S 2.22-2.32
8 Ni 0.5467 0.8060 0.1940  4 S 2.22-2.32
9 S 0.1803 0.6913 0.6324  4 Np 2.69-2.79
10 S 0.6803 0.6324 0.6913  4 Np 2.69-2.79
11 S 0.1963 0.4376 0.9047  1 Ni 2.24
12 S 0.6963 0.9047 0.4376  1 Ni 2.24
13 S 0.1724 0.0333 0.9667  1 Ni 2.22
14 S 0.6793 0.2232 0.7768  1 Ni 2.32
15 S 0.1793 0.7768 0.2232  1 Ni 2.32
16 S 0.6724 0.9667 0.0333  1 Ni 2.22
17 S 0.1963 0.0953 0.5624  1 Ni 2.24
18 S 0.6963 0.5624 0.0953  1 Ni 2.24
19 S 0.1803 0.3676 0.3087  4 Np 2.69-2.79
20 S 0.6803 0.3087 0.3676  4 Np 2.69-2.79

[2]
VASP calculation (PBE) on a geometry-optimized Np2ScNiS5 structure.

Output
- ρ: 7.3 g/cm³
- Space group: Cmc2_1 (36)
- V: 18.646 Å³/atom
- Calculated total energy: -142.3 eV for the cell shown
- Formation energy from raw total energies: -1.39 eV per atom

Lattice parameters (Å, degrees): 3.6929 8.1545 11.4425 90.00 90.00 103.09
Closest atoms and distances in Å follow each position.
Fractional positions:
1 Np 0.8915 0.7830 0.8476  7 S 2.76-2.96
2 Np 0.1216 0.2432 0.6974  8 S 2.75-3.01
3 Np 0.1085 0.2170 0.3476  7 S 2.76-2.96
4 Np 0.8784 0.7568 0.1974  8 S 2.75-3.01
5 Sc 0.8218 0.6436 0.5243  6 S 2.57-2.62
6 Sc 0.1782 0.3564 0.0243  6 S 2.57-2.62
7 Ni 0.5562 0.1125 0.9208  4 S 2.17-2.24
8 Ni 0.4438 0.8875 0.4208  4 S 2.17-2.24
9 S 0.3419 0.6838 0.0207  1 Sc 2.60, 4 Np 2.80-2.82
10 S 0.6909 0.3818 0.8625  1 Ni 2.24
11 S 0.4986 0.9971 0.7485  1 Ni 2.17
12 S 0.3054 0.6108 0.6845  2 Sc 2.62, 1 Np 2.92
13 S 0.9837 0.9674 0.5176  2 Ni 2.24
14 S 0.6581 0.3162 0.5207  1 Sc 2.60, 4 Np 2.80-2.82
15 S 0.3091 0.6182 0.3625  1 Ni 2.24
16 S 0.5014 0.0029 0.2485  1 Ni 2.17
17 S 0.6946 0.3892 0.1845  2 Sc 2.62, 1 Np 2.92
18 S 0.0163 0.0326 0.0176  2 Ni 2.24

[3]
VASP calculation (PBE) on a geometry-optimized NpScNiS3 structure.

Output
- ρ: 6.5 g/cm³
- Space group: P2_1/m (11)
- V: 18.462 Å³/atom
- Calculated total energy: -91.3 eV for the cell shown
- Formation energy from raw total energies: -1.37 eV per atom

Lattice parameters (Å, degrees): 3.6709 7.6786 8.0567 102.70 90.00 90.00
Closest atoms and distances in Å follow each position.
Fractional positions:
1 Np 0.2500 0.1721 0.2314  7 S 2.79-2.85, 1 Ni 3.09
2 Np 0.7500 0.8279 0.7686  7 S 2.79-2.85, 1 Ni 3.09
3 Sc 0.2500 0.6682 0.1696  6 S 2.57-2.64
4 Sc 0.7500 0.3318 0.8304  6 S 2.57-2.64
5 Ni 0.2500 0.0922 0.5911  4 S 2.22-2.40
6 Ni 0.7500 0.9078 0.4089  4 S 2.22-2.40
7 S 0.7500 0.8956 0.1315  1 Ni 2.22
8 S 0.2500 0.1044 0.8685  1 Ni 2.22
9 S 0.2500 0.7740 0.4947  3 Ni 2.28-2.40
10 S 0.7500 0.2260 0.5053  3 Ni 2.28-2.40
11 S 0.7500 0.4278 0.1657  3 Sc 2.60-2.64, 2 Np 2.82
12 S 0.2500 0.5722 0.8343  3 Sc 2.60-2.64, 2 Np 2.82

[4]
VASP calculation (PBE) on a geometry-optimized NpNiSnS3 structure.

Output
- ρ: 6.3 g/cm³
- Space group: P2_1/m (11)
- V: 22.422 Å³/atom
- Calculated total energy: -79.5 eV for the cell shown
- Formation energy from raw total energies: -0.77 eV per atom

Lattice parameters (Å, degrees): 3.9079 8.2594 8.5572 103.05 90.00 90.00
Closest atoms and distances in Å follow each position.
Fractional positions:
1 Np 0.2500 0.6691 0.1665  6 S 2.65-2.73
2 Np 0.7500 0.3309 0.8335  6 S 2.65-2.73
3 Ni 0.2500 0.0848 0.5798  4 S 2.30-2.36
4 Ni 0.7500 0.9152 0.4202  4 S 2.30-2.36
5 Sn 0.2500 0.1508 0.2640  1 Ni 2.87, 4 S 2.89-2.93
6 Sn 0.7500 0.8492 0.7360  1 Ni 2.87, 4 S 2.89-2.93
7 S 0.7500 0.8894 0.1414  1 Ni 2.35
8 S 0.2500 0.1106 0.8586  1 Ni 2.35
9 S 0.2500 0.7939 0.4799  3 Ni 2.30-2.36
10 S 0.7500 0.2061 0.5201  3 Ni 2.30-2.36
11 S 0.7500 0.4411 0.1589  3 Np 2.70-2.73
12 S 0.2500 0.5589 0.8411  3 Np 2.70-2.73

[5]
VASP calculation (PBE) on a geometry-optimized NpNiSnS4 structure.

Output
- ρ: 6.4 g/cm³
- Space group: P2_1/m (11)
- V: 20.177 Å³/atom
- Calculated total energy: -88.4 eV for the cell shown
- Formation energy from raw total energies: -0.71 eV per atom

Lattice parameters (Å, degrees): 6.5066 5.5811 8.1233 90.00 106.75 90.00
Closest atoms and distances in Å follow each position.
Fractional positions:
1 Np 0.7470 0.7500 0.4452  8 S 2.71-3.01
2 Np 0.2530 0.2500 0.5548  8 S 2.71-3.01
3 Ni 0.2331 0.7500 0.3368  4 S 2.16-2.31
4 Ni 0.7669 0.2500 0.6632  4 S 2.16-2.31
5 Sn 0.7074 0.7500 0.9496  4 S 2.71-2.95
6 Sn 0.2926 0.2500 0.0504  4 S 2.71-2.95
7 S 0.0218 0.5117 0.7294  1 Ni 2.16
8 S 0.9782 0.0117 0.2706  1 Ni 2.16
9 S 0.9782 0.4883 0.2706  1 Ni 2.16
10 S 0.0218 0.9883 0.7294  1 Ni 2.16
11 S 0.4278 0.7500 0.1404  1 Ni 2.31
12 S 0.5722 0.2500 0.8596  1 Ni 2.31
13 S 0.4324 0.7500 0.6022  1 Ni 2.17
14 S 0.5676 0.2500 0.3978  1 Ni 2.17

[6]
VASP calculation (PBE) on a geometry-optimized SrNp2NiS4 structure.

Output
- ρ: 7.2 g/cm³
- Space group: Cmcm (63)
- V: 21.495 Å³/atom
- Calculated total energy: -122.3 eV for the cell shown
- Formation energy from raw total energies: -1.41 eV per atom

Lattice parameters (Å, degrees): 3.9225 6.8232 13.4167 90.00 90.00 106.70
Closest atoms and distances in Å follow each position.
Fractional positions:
1 Sr 0.1072 0.2143 0.7500  6 S 2.98-3.09
2 Sr 0.8928 0.7857 0.2500  6 S 2.98-3.09
3 Np 0.3657 0.7315 0.5616  6 S 2.69-2.76
4 Np 0.6343 0.2685 0.0616  6 S 2.69-2.76
5 Np 0.6343 0.2685 0.4384  6 S 2.69-2.76
6 Np 0.3657 0.7315 0.9384  6 S 2.69-2.76
7 Ni 0.8413 0.6825 0.7500  4 S 2.26-2.32
8 Ni 0.1587 0.3175 0.2500  4 S 2.26-2.32
9 S 0.2684 0.5368 0.1193  1 Ni 2.26
10 S 0.7316 0.4632 0.6193  1 Ni 2.26
11 S 0.7316 0.4632 0.8807  1 Ni 2.26
12 S 0.2684 0.5368 0.3807  1 Ni 2.26
13 S 0.0000 0.0000 0.5000  4 Np 2.76
14 S 0.0000 0.0000 0.0000  4 Np 2.76
15 S 0.4355 0.8710 0.7500  2 Ni 2.32
16 S 0.5645 0.1290 0.2500  2 Ni 2.32

[7]
VASP calculation (PBE) on a geometry-optimized SrNpNiS4 structure.

Output
- ρ: 5.8 g/cm³
- Space group: P2_1/m (11)
- V: 20.801 Å³/atom
- Calculated total energy: -91.1 eV for the cell shown
- Formation energy from raw total energies: -1.24 eV per atom

Lattice parameters (Å, degrees): 6.4946 5.6969 8.2138 90.00 106.61 90.00
Closest atoms and distances in Å follow each position.
Fractional positions:
1 Sr 0.7346 0.7500 0.9370  8 S 2.95-3.15
2 Sr 0.2654 0.2500 0.0630  8 S 2.95-3.15
3 Np 0.7446 0.7500 0.4412  6 S 2.67-2.86
4 Np 0.2554 0.2500 0.5588  6 S 2.67-2.86
5 Ni 0.2321 0.7500 0.3284  4 S 2.17-2.25
6 Ni 0.7679 0.2500 0.6716  4 S 2.17-2.25
7 S 0.0195 0.5138 0.7293  1 Ni 2.17
8 S 0.9805 0.0138 0.2707  1 Ni 2.17
9 S 0.9805 0.4862 0.2707  1 Ni 2.17
10 S 0.0195 0.9862 0.7293  1 Ni 2.17
11 S 0.4349 0.7500 0.1471  1 Ni 2.25
12 S 0.5651 0.2500 0.8529  1 Ni 2.25
13 S 0.4272 0.7500 0.5916  1 Ni 2.17
14 S 0.5728 0.2500 0.4084  1 Ni 2.17

[8]
VASP calculation (PBE) on a geometry-optimized SrNp4Ni3S12 structure.

Output
- ρ: 6.0 g/cm³
- Space group: Im-3 (204)
- V: 22.014 Å³/atom
- Calculated total energy: -138.7 eV for the cell shown
- Formation energy from raw total energies: -0.92 eV per atom

Lattice parameters (Å, degrees): 8.3008 8.3008 8.3008 109.47 109.47 109.47
Closest atoms and distances in Å follow each position.
Fractional positions:
1 Sr 0.0000 0.0000 0.0000  12 S 3.43
2 Np 0.5000 0.0000 0.0000  6 S 2.66
3 Np 0.5000 0.5000 0.5000  6 S 2.66
4 Np 0.0000 0.5000 0.0000  6 S 2.66
5 Np 0.0000 0.0000 0.5000  6 S 2.66
6 Ni 0.0000 0.5000 0.5000  4 S 2.26
7 Ni 0.5000 0.5000 0.0000  4 S 2.26
8 Ni 0.5000 0.0000 0.5000  4 S 2.26
9 S 0.3225 0.8448 0.1673  1 Ni 2.26
10 S 0.6775 0.1552 0.8327  1 Ni 2.26
11 S 0.6775 0.8448 0.5222  1 Ni 2.26
12 S 0.8327 0.6775 0.1552  1 Ni 2.26
13 S 0.8448 0.1673 0.3225  1 Ni 2.26
14 S 0.1552 0.4778 0.3225  1 Ni 2.26
15 S 0.4778 0.3225 0.1552  1 Ni 2.26
16 S 0.1552 0.8327 0.6775  1 Ni 2.26
17 S 0.3225 0.1552 0.4778  1 Ni 2.26
18 S 0.1673 0.3225 0.8448  1 Ni 2.26
19 S 0.8448 0.5222 0.6775  1 Ni 2.26
20 S 0.5222 0.6775 0.8448  1 Ni 2.26

> The highest ρ belongs to which entry?

Np3NiS6

> Which of these has the highest V?

NpNiSnS3